1.
This record from the Alexandria database describes crystalline K3Pu3MgTe8 at its relaxed geometry. The functional is GGA-PBE.

Summary:
- ΔE_f (raw): -0.960 eV per atom
- Total magnetic moment: 13.00 Bohr magnetons per cell
- Fermi-level density of states: 34.1 states/eV per cell
- Symmetry: R-3m, No. 166
- Calculated total energy: -5.83 eV per atom

a = 8.9182 Å, b = 8.9160 Å, c = 9.7703 Å
α = 117.11°, β = 90.00°, γ = 120.01°
Last column: nearest neighbours and their distance in Å.
Fractional coordinates of all 15 atoms:
Te (0.7674, 0.0324, 0.2997)  1 Mg 3.05, 2 Pu 3.07
Te (0.2637, 0.5275, 0.2912)  3 Pu 3.10
Te (0.2323, 0.4645, 0.7000)  1 Mg 3.05, 2 Pu 3.07
Te (0.7363, 0.4725, 0.7088)  3 Pu 3.10
Te (0.7677, 0.5355, 0.3000)  1 Mg 3.05, 2 Pu 3.07
Te (0.2650, 0.0324, 0.2998)  1 Mg 3.05, 2 Pu 3.07
Te (0.7350, 0.9676, 0.7002)  1 Mg 3.05, 2 Pu 3.07
Te (0.2326, 0.9676, 0.7003)  1 Mg 3.05, 2 Pu 3.07
Pu (0.0000, 0.5000, 0.5000)  6 Te 3.07-3.10
Pu (0.5000, 0.5000, 0.5000)  6 Te 3.07-3.10
Pu (0.5000, 0.0000, 0.5000)  6 Te 3.07-3.10
K (0.5000, 0.5000, 0.0000)  6 Te 3.53-3.58
K (0.0000, 0.5000, 0.0000)  6 Te 3.53-3.58
K (0.0000, 0.0000, 0.0000)  6 Te 3.53-3.58
Mg (0.0000, 0.0000, 0.5000)  6 Te 3.05

***

2.
This record from the Alexandria database describes crystalline TbPm3Cd2 at its relaxed geometry. The functional is GGA-PBE.

Summary:
- Total magnetic moment: 0.26 Bohr magnetons per cell
- Fermi-level density of states: 7.0 states/eV per cell
- ΔH_f (0 K): -0.196 eV per atom
- Symmetry: P4/mmm, No. 123
- Calculated total energy: -3.65 eV per atom

a = 3.7460 Å, b = 3.7460 Å, c = 12.8051 Å
α = 90.00°, β = 90.00°, γ = 90.00°
Last column: nearest neighbours and their distance in Å.
Fractional coordinates of all 6 atoms:
Pm (0.0000, 0.0000, 0.0000)  8 Cd 3.31
Pm (0.0000, 0.0000, 0.3085)  4 Cd 3.30, 4 Tb 3.61
Pm (0.0000, 0.0000, 0.6915)  4 Cd 3.30, 4 Tb 3.61
Cd (0.5000, 0.5000, 0.8450)  8 Pm 3.30-3.31
Cd (0.5000, 0.5000, 0.1550)  8 Pm 3.30-3.31
Tb (0.5000, 0.5000, 0.5000)  8 Pm 3.61, 4 Tb 3.75

***

3.
This record from the Alexandria database describes crystalline Cd2HgBi2 at its relaxed geometry. The functional is GGA-PBE.

Summary:
- Total magnetic moment: 0.00 Bohr magnetons per cell
- Fermi-level density of states: 5.1 states/eV per cell
- ΔH_f (0 K): 0.102 eV per atom
- Symmetry: P4/mbm, No. 127
- Calculated total energy: -1.88 eV per atom

a = 9.2026 Å, b = 9.2026 Å, c = 3.4895 Å
α = 90.00°, β = 90.00°, γ = 90.00°
Last column: nearest neighbours and their distance in Å.
Fractional coordinates of all 10 atoms:
Bi (0.3543, 0.8543, 0.0000)  6 Cd 3.18-3.23, 2 Bi 3.49, 2 Hg 3.53
Bi (0.1457, 0.3543, 0.0000)  6 Cd 3.18-3.23, 2 Bi 3.49, 2 Hg 3.53
Bi (0.6457, 0.1457, 0.0000)  6 Cd 3.18-3.23, 2 Bi 3.49, 2 Hg 3.53
Bi (0.8543, 0.6457, 0.0000)  6 Cd 3.18-3.23, 2 Bi 3.49, 2 Hg 3.53
Cd (0.3502, 0.1498, 0.5000)  6 Bi 3.18-3.23, 2 Cd 3.49
Cd (0.8502, 0.3502, 0.5000)  6 Bi 3.18-3.23, 2 Cd 3.49
Cd (0.1498, 0.6498, 0.5000)  6 Bi 3.18-3.23, 2 Cd 3.49
Cd (0.6498, 0.8502, 0.5000)  6 Bi 3.18-3.23, 2 Cd 3.49
Hg (0.5000, 0.5000, 0.0000)  2 Hg 3.49, 4 Bi 3.53
Hg (0.0000, 0.0000, 0.0000)  2 Hg 3.49, 4 Bi 3.53

***

4.
This record from the Alexandria database describes crystalline SbMoBr2 at its relaxed geometry. The functional is GGA-PBE.

Summary:
- ΔE_f (raw): 0.824 eV per atom
- Total magnetic moment: 3.24 Bohr magnetons per cell
- Fermi-level density of states: 2.7 states/eV per cell
- Symmetry: P4/mmm, No. 123
- Calculated total energy: -3.75 eV per atom

a = 4.6637 Å, b = 4.6637 Å, c = 4.5373 Å
α = 90.00°, β = 90.00°, γ = 90.00°
Last column: nearest neighbours and their distance in Å.
Fractional coordinates of all 4 atoms:
Br (0.5000, 0.5000, 0.0000)  4 Mo 3.25, 4 Sb 3.25, 4 Br 3.30
Br (0.0000, 0.0000, 0.0000)  4 Sb 3.25, 4 Mo 3.25, 4 Br 3.30
Sb (0.0000, 0.5000, 0.5000)  8 Br 3.25, 4 Mo 3.30
Mo (0.5000, 0.0000, 0.5000)  8 Br 3.25, 4 Sb 3.30

***

5.
This record from the Alexandria database describes crystalline Cs2Pr2USe6 at its relaxed geometry. The functional is GGA-PBE.

Summary:
- ΔE_f (raw): -1.584 eV per atom
- Total magnetic moment: 2.00 Bohr magnetons per cell
- Fermi-level density of states: 7.0 states/eV per cell
- Symmetry: C2/m, No. 12
- Calculated total energy: -5.54 eV per atom

a = 7.4794 Å, b = 7.4794 Å, c = 8.9536 Å
α = 98.29°, β = 98.29°, γ = 119.71°
Last column: nearest neighbours and their distance in Å.
Fractional coordinates of all 11 atoms:
U (0.0000, 0.0000, 0.5000)  6 Se 2.86-2.87
Se (0.3823, 0.0630, 0.6849)  1 U 2.87, 2 Pr 3.00-3.01
Se (0.9370, 0.6177, 0.3151)  1 U 2.87, 2 Pr 3.00-3.01
Se (0.7463, 0.7463, 0.6843)  1 U 2.86, 2 Pr 3.00
Se (0.6177, 0.9370, 0.3151)  1 U 2.87, 2 Pr 3.00-3.01
Se (0.2537, 0.2537, 0.3157)  1 U 2.86, 2 Pr 3.00
Se (0.0630, 0.3823, 0.6849)  1 U 2.87, 2 Pr 3.00-3.01
Pr (0.6664, 0.3336, 0.5000)  6 Se 3.00-3.01
Pr (0.3336, 0.6664, 0.5000)  6 Se 3.00-3.01
Cs (0.1703, 0.8297, 0.0000)  6 Se 3.66-3.71
Cs (0.8297, 0.1703, 0.0000)  6 Se 3.66-3.71

***

6.
This record from the Alexandria database describes crystalline CaB2H8 at its relaxed geometry. The functional is GGA-PBE.

Summary:
- Total magnetic moment: 0.00 Bohr magnetons per cell
- Fermi-level density of states: 0.0 states/eV per cell
- Symmetry: Fddd, No. 70
- Calculated total energy: -4.21 eV per atom

a = 7.7892 Å, b = 7.4417 Å, c = 5.7129 Å
α = 71.24°, β = 64.77°, γ = 43.99°
Last column: nearest neighbours and their distance in Å.
Fractional coordinates of all 22 atoms:
B (0.7246, 0.7246, 0.2754)  4 H 1.22-1.23
B (0.2754, 0.2754, 0.7246)  4 H 1.22-1.23
B (0.9746, 0.9746, 0.5254)  4 H 1.22-1.23
B (0.5254, 0.5254, 0.9746)  4 H 1.22-1.23
H (0.0587, 0.7819, 0.4442)  1 B 1.23
H (0.5348, 0.8058, 0.4681)  1 B 1.23
H (0.1207, 0.3203, 0.6525)  1 B 1.22
H (0.4681, 0.1913, 0.5348)  1 B 1.23
H (0.3203, 0.1207, 0.9066)  1 B 1.22
H (0.9297, 0.1293, 0.3434)  1 B 1.22
H (0.7152, 0.4442, 0.7819)  1 B 1.23
H (0.5975, 0.3434, 0.1293)  1 B 1.22
H (0.6525, 0.9066, 0.1207)  1 B 1.22
H (0.3434, 0.5975, 0.9297)  1 B 1.22
H (0.1913, 0.4681, 0.8058)  1 B 1.23
H (0.7819, 0.0587, 0.7152)  1 B 1.23
H (0.1293, 0.9297, 0.5975)  1 B 1.22
H (0.8058, 0.5348, 0.1913)  1 B 1.23
H (0.4442, 0.7152, 0.0587)  1 B 1.23
H (0.9066, 0.6525, 0.3203)  1 B 1.22
Ca (0.5000, 0.5000, 0.5000)  12 H 2.32-2.54
Ca (0.7500, 0.7500, 0.7500)  12 H 2.32-2.54

***

7.
This record from the Alexandria database describes crystalline PaMnTcGe2 at its relaxed geometry. The functional is GGA-PBE.

Summary:
- Total magnetic moment: 2.88 Bohr magnetons per cell
- Fermi-level density of states: 4.9 states/eV per cell
- ΔH_f (0 K): -0.348 eV per atom
- Symmetry: I-4m2, No. 119
- Calculated total energy: -8.00 eV per atom

a = 4.0782 Å, b = 4.0782 Å, c = 6.0331 Å
α = 109.75°, β = 109.75°, γ = 90.00°
Last column: nearest neighbours and their distance in Å.
Fractional coordinates of all 5 atoms:
Mn (0.7500, 0.2500, 0.5000)  4 Ge 2.47
Ge (0.6180, 0.6180, 0.2360)  2 Tc 2.47, 2 Mn 2.47, 1 Ge 2.50
Ge (0.3820, 0.3820, 0.7640)  2 Mn 2.47, 2 Tc 2.47, 1 Ge 2.50
Tc (0.2500, 0.7500, 0.5000)  4 Ge 2.47
Pa (0.0000, 0.0000, 0.0000)  8 Ge 3.14, 4 Mn 3.34, 4 Tc 3.34

***

8.
This record from the Alexandria database describes crystalline LiMo2As at its relaxed geometry. The functional is GGA-PBE.

Summary:
- Total magnetic moment: 0.00 Bohr magnetons per cell
- Fermi-level density of states: 2.7 states/eV per cell
- ΔH_f (0 K): 0.422 eV per atom
- Symmetry: Cmmm, No. 65
- Calculated total energy: -6.63 eV per atom

a = 2.7774 Å, b = 2.7774 Å, c = 8.8002 Å
α = 90.00°, β = 90.00°, γ = 110.00°
Last column: nearest neighbours and their distance in Å.
Fractional coordinates of all 4 atoms:
Mo (0.0000, 0.0000, 0.4832)  2 As 2.60, 4 Mo 2.78, 2 Li 2.84
Mo (0.0000, 0.0000, 0.0168)  2 As 2.60, 4 Mo 2.78, 2 Li 2.84
As (0.5000, 0.5000, 0.2500)  4 Mo 2.60, 4 As 2.78
Li (0.5000, 0.5000, 0.7500)  4 Li 2.78, 4 Mo 2.84